(1)
VASP calculation (GGA-PBE) on a relaxed structure of TaCdGa3.

a b c (Å): 5.087 5.087 5.087
angles (deg): 90.00 90.00 90.00
Space group Pm-3m (No. 221)
One atom of each set of equivalent atoms:
Ta 0.000 0.000 0.000 x1
Cd 0.500 0.500 0.500 x1
Ga 0.000 0.000 0.500 x3

- E above lowest polymorph: 0.000 eV per atom
- Crystal system: cubic
- Calculated formation energy: 13.59 kcal/mol of atoms



(2)
VASP calculation (GGA-PBE) on a relaxed structure of TaCdGa2.

a b c (Å): 3.0201 3.0201 29.4175
angles (deg): 90.00 90.00 120.00
Space group R-3m (No. 166, hexagonal axes)
One atom of each set of equivalent atoms:
Ta 0.0000 0.0000 0.0000 x3
Cd 0.0000 0.0000 0.5000 x3
Ga 0.0000 0.0000 0.4089 x6

- Crystal system: trigonal
- Calculated formation energy: 1.02 kcal/mol of atoms



(3)
VASP calculation (GGA-PBE) on a relaxed structure of TaCdGa2.

a b c (Å): 7.259 7.259 5.845
angles (deg): 90.00 90.00 90.00
Space group I-42d (No. 122)
One atom of each set of equivalent atoms:
Ta 0.000 0.000 0.000 x4
Cd 0.000 0.000 0.500 x4
Ga 0.248 0.250 0.625 x8

- Crystal system: tetragonal
- Calculated formation energy: 9.75 kcal/mol of atoms



(4)
VASP calculation (GGA-PBE) on a relaxed structure of TaCdGa3.

a b c (Å): 4.921 4.921 4.921
angles (deg): 90.00 90.00 90.00
Space group Pm-3m (No. 221)
One atom of each set of equivalent atoms:
Ta 0.000 0.000 0.000 x1
Cd 0.500 0.500 0.500 x1
Ga 0.000 0.500 0.500 x3

- E above lowest polymorph: 0.716 eV per atom
- Crystal system: cubic
- Calculated formation energy: 30.11 kcal/mol of atoms



(5)
VASP calculation (GGA-PBE) on a relaxed structure of Tb4CdGa12.

a b c (Å): 8.782 8.782 8.782
angles (deg): 90.00 90.00 90.00
Space group Im-3m (No. 229)
One atom of each set of equivalent atoms:
Tb 0.250 0.250 0.250 x8
Cd 0.000 0.000 0.000 x2
Ga 0.000 0.000 0.313 x12
Ga 0.000 0.250 0.500 x12

- Crystal system: cubic
- Calculated formation energy: -11.24 kcal/mol of atoms



(6)
VASP calculation (GGA-PBE) on a relaxed structure of TbCd2Ga2.

a b c (Å): 4.280 4.300 23.386
angles (deg): 90.00 90.00 90.00
Space group Imma (No. 74)
One atom of each set of equivalent atoms:
Tb 0.000 0.250 0.077 x4
Cd 0.000 0.250 0.298 x4
Cd 0.000 0.250 0.800 x4
Ga 0.000 0.250 0.525 x4
Ga 0.000 0.250 0.628 x4

- Crystal system: orthorhombic
- Calculated formation energy: -7.97 kcal/mol of atoms



(7)
VASP calculation (GGA-PBE) on a relaxed structure of Tb8Cd2Ga.

a b c (Å): 18.040 5.246 6.990
angles (deg): 90.00 106.62 90.00
Space group C2/m (No. 12)
One atom of each set of equivalent atoms:
Tb 0.020 0.000 0.271 x4
Tb 0.092 0.500 0.952 x4
Tb 0.161 0.500 0.466 x4
Tb 0.199 0.000 0.800 x4
Cd 0.184 0.000 0.217 x4
Ga 0.000 0.500 0.500 x2

- Crystal system: monoclinic
- Calculated formation energy: -4.06 kcal/mol of atoms



(8)
VASP calculation (GGA-PBE) on a relaxed structure of Tb3CdGa.

a b c (Å): 5.122 20.319 5.121
angles (deg): 90.00 90.00 90.00
Space group Cmcm (No. 63)
One atom of each set of equivalent atoms:
Tb 0.000 0.064 0.250 x4
Tb 0.000 0.250 0.250 x4
Tb 0.000 0.436 0.250 x4
Cd 0.000 0.157 0.750 x4
Ga 0.000 0.342 0.750 x4

- E above lowest polymorph: 0.000 eV per atom
- Crystal system: orthorhombic
- Calculated formation energy: -7.73 kcal/mol of atoms



(9)
VASP calculation (GGA-PBE) on a relaxed structure of Tb11Cd9Ga4.

a b c (Å): 14.766 22.170 3.683
angles (deg): 90.00 90.00 90.00
Space group Cmmm (No. 65)
One atom of each set of equivalent atoms:
Tb 0.000 0.000 0.000 x2
Tb 0.000 0.165 0.000 x4
Tb 0.000 0.370 0.000 x4
Tb 0.202 0.500 0.000 x4
Tb 0.237 0.173 0.000 x8
Cd 0.000 0.500 0.500 x2
Cd 0.106 0.264 0.500 x8
Cd 0.141 0.072 0.500 x8
Ga 0.151 0.400 0.500 x8

- Crystal system: orthorhombic
- Calculated formation energy: -9.07 kcal/mol of atoms



(10)
VASP calculation (GGA-PBE) on a relaxed structure of Tb2Cd3Ga.

a b c (Å): 3.531 4.838 8.355
angles (deg): 90.00 90.00 90.00
Space group Pmm2 (No. 25)
One atom of each set of equivalent atoms:
Tb 0.000 0.000 0.000 x1
Tb 0.000 0.500 0.475 x1
Cd 0.500 0.000 0.649 x1
Cd 0.500 0.500 0.155 x1
Cd 0.500 0.500 0.817 x1
Ga 0.500 0.000 0.321 x1

- E above lowest polymorph: 0.000 eV per atom
- Crystal system: orthorhombic
- Calculated formation energy: -8.89 kcal/mol of atoms



(11)
VASP calculation (GGA-PBE) on a relaxed structure of Tb4Cd3Ga.

a b c (Å): 3.688 3.688 15.083
angles (deg): 90.00 90.00 90.00
Space group P4/mmm (No. 123)
One atom of each set of equivalent atoms:
Tb 0.000 0.000 0.114 x2
Tb 0.000 0.000 0.372 x2
Cd 0.500 0.500 0.245 x2
Cd 0.500 0.500 0.500 x1
Ga 0.500 0.500 0.000 x1

- Crystal system: tetragonal
- Calculated formation energy: -8.89 kcal/mol of atoms



(12)
VASP calculation (GGA-PBE) on a relaxed structure of Tb4Cd5Ga2.

a b c (Å): 7.664 3.779 9.451
angles (deg): 90.00 93.24 90.00
Space group P2/m (No. 10)
One atom of each set of equivalent atoms:
Tb 0.177 0.000 0.362 x2
Tb 0.249 0.000 0.933 x2
Cd 0.173 0.500 0.646 x2
Cd 0.444 0.500 0.183 x2
Cd 0.500 0.500 0.500 x1
Ga 0.061 0.500 0.129 x2

- Crystal system: monoclinic
- Calculated formation energy: -8.38 kcal/mol of atoms



(13)
VASP calculation (GGA-PBE) on a relaxed structure of Tb3CdGa.

a b c (Å): 17.286 9.642 6.497
angles (deg): 90.00 95.31 90.00
Space group C2/c (No. 15)
One atom of each set of equivalent atoms:
Tb 0.066 0.243 0.021 x8
Tb 0.154 0.104 0.581 x8
Tb 0.165 0.457 0.503 x8
Cd 0.000 0.002 0.750 x4
Cd 0.000 0.499 0.750 x4
Ga 0.233 0.196 0.175 x8

- E above lowest polymorph: 0.078 eV per atom
- Crystal system: monoclinic
- Calculated formation energy: -5.93 kcal/mol of atoms



(14)
VASP calculation (GGA-PBE) on a relaxed structure of Tb2CdGa9.

a b c (Å): 4.329 4.329 12.657
angles (deg): 90.00 90.00 90.00
Space group P4/mmm (No. 123)
One atom of each set of equivalent atoms:
Tb 0.000 0.000 0.168 x2
Cd 0.000 0.000 0.500 x1
Ga 0.000 0.500 0.000 x2
Ga 0.000 0.500 0.341 x4
Ga 0.500 0.500 0.161 x2
Ga 0.500 0.500 0.500 x1

- Crystal system: tetragonal
- Calculated formation energy: -7.23 kcal/mol of atoms



(15)
VASP calculation (GGA-PBE) on a relaxed structure of Tb6Cd2Ga.

a b c (Å): 9.739 10.078 10.410
angles (deg): 90.00 90.00 90.00
Space group Immm (No. 71)
One atom of each set of equivalent atoms:
Tb 0.000 0.174 0.244 x8
Tb 0.171 0.500 0.262 x8
Tb 0.241 0.308 0.000 x8
Cd 0.000 0.360 0.500 x4
Cd 0.142 0.000 0.000 x4
Ga 0.000 0.000 0.500 x2
Ga 0.000 0.500 0.000 x2

- Crystal system: orthorhombic
- Calculated formation energy: -4.79 kcal/mol of atoms



(16)
VASP calculation (GGA-PBE) on a relaxed structure of Tb2Cd3Ga.

a b c (Å): 3.622 4.866 17.059
angles (deg): 90.00 90.00 90.00
Space group Imm2 (No. 44)
One atom of each set of equivalent atoms:
Tb 0.000 0.000 0.000 x2
Tb 0.000 0.500 0.281 x2
Cd 0.000 0.000 0.610 x2
Cd 0.000 0.500 0.683 x2
Cd 0.000 0.500 0.846 x2
Ga 0.000 0.000 0.456 x2

- E above lowest polymorph: 0.117 eV per atom
- Crystal system: orthorhombic
- Calculated formation energy: -6.20 kcal/mol of atoms



(17)
VASP calculation (GGA-PBE) on a relaxed structure of Tb4CdGa2.

a b c (Å): 5.0489 5.0489 26.7066
angles (deg): 90.00 90.00 120.00
Space group R-3m (No. 166, hexagonal axes)
One atom of each set of equivalent atoms:
Tb 0.0000 0.0000 0.1188 x6
Tb 0.0000 0.0000 0.2927 x6
Cd 0.0000 0.0000 0.5000 x3
Ga 0.0000 0.0000 0.4019 x6

- E above lowest polymorph: 0.144 eV per atom
- Crystal system: trigonal
- Calculated formation energy: -5.38 kcal/mol of atoms



(18)
VASP calculation (GGA-PBE) on a relaxed structure of Tb6Cd5Ga.

a b c (Å): 5.259 15.815 7.483
angles (deg): 90.00 90.00 90.00
Space group Cmmm (No. 65)
One atom of each set of equivalent atoms:
Tb 0.000 0.000 0.240 x4
Tb 0.000 0.338 0.245 x8
Cd 0.000 0.169 0.500 x4
Cd 0.000 0.173 0.000 x4
Cd 0.000 0.500 0.500 x2
Ga 0.000 0.500 0.000 x2

- Crystal system: orthorhombic
- Calculated formation energy: -8.39 kcal/mol of atoms



(19)
VASP calculation (GGA-PBE) on a relaxed structure of Tb3Cd4Ga2.

a b c (Å): 10.908 4.799 9.018
angles (deg): 90.00 117.00 90.00
Space group C2/m (No. 12)
One atom of each set of equivalent atoms:
Tb 0.000 0.000 0.000 x2
Tb 0.166 0.500 0.668 x4
Cd 0.073 0.000 0.402 x4
Cd 0.206 0.500 0.043 x4
Ga 0.106 0.500 0.274 x4

- Crystal system: monoclinic
- Calculated formation energy: -9.48 kcal/mol of atoms



(20)
VASP calculation (GGA-PBE) on a relaxed structure of Tb5Cd2Ga.

a b c (Å): 7.649 7.649 15.292
angles (deg): 90.00 90.00 90.00
Space group I4/mcm (No. 140)
One atom of each set of equivalent atoms:
Tb 0.000 0.000 0.000 x4
Tb 0.167 0.333 0.158 x16
Cd 0.129 0.371 0.500 x8
Ga 0.000 0.000 0.250 x4

- Crystal system: tetragonal
- Calculated formation energy: -5.68 kcal/mol of atoms